## 1
VASP calculation (PBE) on a relaxed Sb2HPbI crystal.

POSCAR file:
```
Sb2HPbI
1.0
5.9939 0.0000 0.0000
0.0000 5.9939 0.0000
0.0000 0.0000 6.3856
Sb I Pb H
2 1 1 1
direct
0.0000 0.5000 0.0000
0.5000 0.0000 0.0000
0.0000 0.0000 0.5000
0.0000 0.0000 0.0000
0.5000 0.5000 0.5000
```

***

## 2
VASP calculation (PBE) on a relaxed Sb2HPbI crystal.

POSCAR file:
```
Sb2HPbI
1.0
-3.8925 -1.4546 -1.9216
-1.5897 -1.1938 4.1240
-2.5202 5.8066 0.7094
H Pb I Sb
1 1 1 2
direct
0.0000 0.0000 0.0000
0.5000 0.5000 0.5000
0.0000 0.0000 0.5000
0.0000 0.5000 0.0000
0.5000 0.0000 0.0000
```

***

2 is preferred energetically. Next in line: 713 meV/atom higher.